[1]
Material: TbInHg4
Method: DFT, PBE
State: optimized geometry

The value obtained for the formation energy is -0.05 eV per atom. For the total energy, the calculation gives -1.478 eV/atom.

The structure belongs to space group F-43m (No. 216); the cell edges are 8.5234, 8.5234 and 8.5234 Å and the angles 90.00°, 90.00° and 90.00°. The inequivalent atoms are Tb at (0.0000, 0.0000, 0.0000), In at (0.2500, 0.2500, 0.7500) and Hg at (0.1252, 0.1252, 0.3748).

***

[2]
Material: Tb3InHg12
Method: DFT, PBE
State: optimized geometry

The value obtained for the formation energy is -0.24 eV per atom. For the total energy, the calculation gives -1.510 eV/atom.

The structure belongs to space group P4/mmm (No. 123); the cell edges are 4.6298, 4.6298 and 18.4716 Å and the angles 90.00°, 90.00° and 90.00°. The inequivalent atoms are Tb at (0.0000, 0.0000, 0.0000), Tb at (0.0000, 0.0000, 0.2568), In at (0.0000, 0.0000, 0.5000), Hg at (0.0000, 0.5000, 0.1247), Hg at (0.0000, 0.5000, 0.3748), Hg at (0.5000, 0.5000, 0.0000), Hg at (0.5000, 0.5000, 0.2455) and Hg at (0.5000, 0.5000, 0.5000).

***

[3]
Material: Tb4In5Hg
Method: DFT, PBE
State: optimized geometry

The value obtained for the formation energy is -0.16 eV per atom. For the total energy, the calculation gives -3.415 eV/atom.

The structure belongs to space group Pmmn (No. 59, origin choice 2); the cell edges are 7.4529, 10.1953 and 7.6131 Å and the angles 90.00°, 90.00° and 90.00°. The inequivalent atoms are Tb at (0.0037, 0.2500, 0.2083), Tb at (0.2500, 0.5604, 0.4782), In at (0.0545, 0.0611, 0.8267), In at (0.2500, 0.7500, 0.1215) and Hg at (0.2500, 0.2500, 0.5396).

***

[4]
Material: Tb6In5Hg
Method: DFT, PBE
State: optimized geometry

The value obtained for the formation energy is -0.48 eV per atom. For the total energy, the calculation gives -3.960 eV/atom.

The structure belongs to space group P2/m (No. 10); the cell edges are 5.3485, 7.4878 and 8.4397 Å and the angles 90.00°, 108.01° and 90.00°. The inequivalent atoms are Tb at (0.0000, 0.2470, 0.0000), Tb at (0.3368, 0.2486, 0.6692), In at (0.1633, 0.0000, 0.3321), In at (0.1646, 0.5000, 0.3342), In at (0.5000, 0.5000, 0.0000) and Hg at (0.5000, 0.0000, 0.0000).

***

[5]
Material: Tb3InHg4
Method: DFT, PBE
State: optimized geometry

The value obtained for the formation energy is -0.44 eV per atom. For the total energy, the calculation gives -2.668 eV/atom.

The structure belongs to space group R-3m (No. 166, hexagonal axes); the cell edges are 5.1672, 5.1672 and 26.3193 Å and the angles 90.00°, 90.00° and 120.00°. The inequivalent atoms are Tb at (0.0000, 0.0000, 0.0000), Tb at (0.0000, 0.0000, 0.2424), In at (0.0000, 0.0000, 0.5000), Hg at (0.0000, 0.0000, 0.1207) and Hg at (0.0000, 0.0000, 0.3683).

***

[6]
Material: Tb2InHg4
Method: DFT, PBE
State: optimized geometry

The value obtained for the formation energy is -0.31 eV per atom. For the total energy, the calculation gives -2.192 eV/atom.

The structure belongs to space group R-3m (No. 166, hexagonal axes); the cell edges are 5.1177, 5.1177 and 24.3588 Å and the angles 90.00°, 90.00° and 120.00°. The inequivalent atoms are Tb at (0.0000, 0.0000, 0.2432), In at (0.0000, 0.0000, 0.5000), Hg at (0.0000, 0.0000, 0.1108) and Hg at (0.0000, 0.0000, 0.3683).

***

[7]
Material: Tb6In2Hg
Method: DFT, PBE
State: optimized geometry

The value obtained for the formation energy is -0.10 eV per atom. For the total energy, the calculation gives -3.826 eV/atom.

The structure belongs to space group Immm (No. 71); the cell edges are 5.1581, 7.3332 and 15.5085 Å and the angles 90.00°, 90.00° and 90.00°. The inequivalent atoms are Tb at (0.0000, 0.2433, 0.0000), Tb at (0.0000, 0.2538, 0.3352), In at (0.0000, 0.5000, 0.1663) and Hg at (0.0000, 0.5000, 0.5000).

***

[8]
Material: Tb2InHg3
Method: DFT, PBE
State: optimized geometry

The value obtained for the formation energy is -0.41 eV per atom. For the total energy, the calculation gives -2.556 eV/atom.

The structure belongs to space group Fmmm (No. 69); the cell edges are 6.9914, 9.9363 and 17.1403 Å and the angles 90.00°, 90.00° and 90.00°. The inequivalent atoms are Tb at (0.2460, 0.0000, 0.0000), Tb at (0.2500, 0.2500, 0.2500), In at (0.0000, 0.0000, 0.3330), Hg at (0.0000, 0.0000, 0.1667) and Hg at (0.0000, 0.2485, 0.4166).

***

[9]
Material: Tb2InHg4
Method: DFT, PBE
State: optimized geometry

The value obtained for the formation energy is -0.12 eV per atom. For the total energy, the calculation gives -2.011 eV/atom.

The structure belongs to space group I4/mmm (No. 139); the cell edges are 5.5907, 5.5907 and 12.5346 Å and the angles 90.00°, 90.00° and 90.00°. The inequivalent atoms are Tb at (0.0000, 0.0000, 0.1405), In at (0.0000, 0.0000, 0.5000), Hg at (0.0000, 0.5000, 0.0000) and Hg at (0.0000, 0.5000, 0.2500).

***

[10]
Material: Tb2In5Hg12
Method: DFT, PBE
State: optimized geometry

The value obtained for the formation energy is -0.12 eV per atom. For the total energy, the calculation gives -1.517 eV/atom.

The structure belongs to space group C2/m (No. 12); the cell edges are 20.2846, 9.9515 and 5.0502 Å and the angles 90.00°, 104.17° and 90.00°. The inequivalent atoms are Tb at (0.0000, 0.2195, 0.0000), In at (0.0000, 0.0000, 0.5000), In at (0.2002, 0.5000, 0.7016), In at (0.2021, 0.0000, 0.7004), Hg at (0.0818, 0.5000, 0.0811), Hg at (0.0908, 0.2791, 0.5892), Hg at (0.1112, 0.0000, 0.1099) and Hg at (0.1934, 0.2630, 0.1914).

***

[11]
Material: TbIn3Hg
Method: DFT, PBE
State: optimized geometry

The value obtained for the formation energy is -0.17 eV per atom. For the total energy, the calculation gives -2.799 eV/atom.

The structure belongs to space group Pmma (No. 51); the cell edges are 10.9773, 3.3178 and 7.7035 Å and the angles 90.00°, 90.00° and 90.00°. The inequivalent atoms are Tb at (0.2500, 0.0000, 0.0850), In at (0.0000, 0.5000, 0.0000), In at (0.1060, 0.5000, 0.3892) and Hg at (0.2500, 0.5000, 0.7329).

***

[12]
Material: Tb3In4Hg2
Method: DFT, PBE
State: optimized geometry

The value obtained for the formation energy is -0.42 eV per atom. For the total energy, the calculation gives -3.249 eV/atom.

The structure belongs to space group C2/m (No. 12); the cell edges are 11.2683, 4.9175 and 9.3087 Å and the angles 90.00°, 117.54° and 90.00°. The inequivalent atoms are Tb at (0.0000, 0.0000, 0.0000), Tb at (0.1688, 0.5000, 0.6621), In at (0.0363, 0.0000, 0.3689), In at (0.2230, 0.5000, 0.0599) and Hg at (0.1299, 0.5000, 0.2987).

***

| no. | V (A^3/atom) | total moment (μB/f.u.) |
| --- | --- | --- |
| 1 | 25.8 | 0.00 |
| 2 | 24.7 | 0.00 |
| 3 | 28.9 | 0.00 |
| 4 | 26.8 | 0.00 |
| 5 | 25.4 | 0.00 |
| 6 | 26.3 | 0.00 |
| 7 | 32.6 | 0.00 |
| 8 | 24.8 | 0.00 |
| 9 | 28.0 | 0.00 |
| 10 | 26.0 | 0.00 |
| 11 | 28.1 | 0.00 |
| 12 | 25.4 | 0.00 |